Record 1
First-principles (PBE-GGA) data for an optimized crystal structure of Ba2NaGe2, as listed in Alexandria via LeMat-Bulk.

The structure belongs to space group I4/mmm (No. 139); the cell edges are 6.497, 6.497 and 8.963 Å and the angles 90.00°, 90.00° and 90.00°. The distinct sites, in fractional coordinates, are Ba at (0.000, 0.500, 0.250), Na at (0.000, 0.000, 0.000) and Ge at (0.000, 0.000, 0.363).

The calculation puts the energy of formation from the pure elements at -0.18 eV/atom. As for the calculated volume: 37.833 A^3/atom. As for the energy above the most stable polymorph in this dataset: 257 meV/atom. The total energy is -3.059 eV/atom.

Record 2
First-principles (PBE-GGA) data for an optimized crystal structure of Zr2As2Pd, as listed in Alexandria via LeMat-Bulk.

The structure belongs to space group I4/mmm (No. 139); the cell edges are 5.200, 5.200 and 7.939 Å and the angles 90.00°, 90.00° and 90.00°. The distinct sites, in fractional coordinates, are Zr at (0.000, 0.500, 0.250), As at (0.000, 0.000, 0.181) and Pd at (0.000, 0.000, 0.500).

The calculation puts the energy of formation from the pure elements at -0.58 eV/atom. As for the calculated volume: 21.463 A^3/atom. The total energy is -6.896 eV/atom.

calculated volume of number 2 (Zr2As2Pd)?
21.463 A^3/atom

The lowest energy of formation from the pure elements belongs to which entry?
Zr2As2Pd

What is the calculated volume in the first record?
37.833 A^3/atom

What is the formula in the second record?
Zr2As2Pd